# PBE+U K2MnTl2O6, relaxed
# Crystal system = monoclinic
# Uncorrected energy = -5.1345 eV/atom
# Density = 5.960 g cm⁻³
data_K2MnTl2O6
_cell_length_a 5.770
_cell_length_b 9.794
_cell_length_c 6.584
_cell_angle_alpha 90.00
_cell_angle_beta 107.18
_cell_angle_gamma 90.00
_symmetry_space_group_name_H-M 'C 1 2/m 1'
_symmetry_Int_Tables_number 12
loop_
_symmetry_equiv_pos_as_xyz
'x,y,z'
'-x,-y,-z'
'-x,y,-z'
'x,-y,z'
'x+1/2,y+1/2,z'
'-x+1/2,-y+1/2,-z'
'-x+1/2,y+1/2,-z'
'x+1/2,-y+1/2,z'
loop_
_atom_site_label
_atom_site_type_symbol
_atom_site_fract_x
_atom_site_fract_y
_atom_site_fract_z
_atom_site_occupancy
K1 K 0.000 0.169 0.000 1
Mn1 Mn 0.000 0.000 0.500 1
Tl1 Tl 0.000 0.335 0.500 1
O1 O 0.202 0.146 0.677 1
O2 O 0.226 0.000 0.325 1